A relaxed structure of Nb2GeBi4, computed with PBE.

a b c (Å): 5.609 5.609 14.161
angles (deg): 90.00 90.00 90.00
Element x y z (fractional)
Nb1 0.000 0.000 0.085
Nb2 0.000 0.000 0.915
Nb3 0.500 0.500 0.415
Nb4 0.500 0.500 0.585
Ge1 0.000 0.000 0.500
Ge2 0.500 0.500 0.000
Bi1 0.000 0.000 0.284
Bi2 0.000 0.000 0.716
Bi3 0.000 0.500 0.000
Bi4 0.000 0.500 0.500
Bi5 0.500 0.000 0.000
Bi6 0.500 0.000 0.500
Bi7 0.500 0.500 0.216
Bi8 0.500 0.500 0.784

calculated total energy: -34.82 eV per formula unit
total magnetic moment: 0.00 μB per formula unit
E_form: 0.780 eV per atom
SG: I4/mmm

A relaxed structure of MnZnRhW, computed with PBE.

a b c (Å): 6.029 6.029 6.029
angles (deg): 90.00 90.00 90.00
Element x y z (fractional)
Mn1 0.000 0.000 0.000
Mn2 0.000 0.500 0.500
Mn3 0.500 0.000 0.500
Mn4 0.500 0.500 0.000
Zn1 0.250 0.250 0.750
Zn2 0.250 0.750 0.250
Zn3 0.750 0.250 0.250
Zn4 0.750 0.750 0.750
Rh1 0.000 0.000 0.500
Rh2 0.000 0.500 0.000
Rh3 0.500 0.000 0.000
Rh4 0.500 0.500 0.500
W1 0.250 0.250 0.250
W2 0.250 0.750 0.750
W3 0.750 0.250 0.750
W4 0.750 0.750 0.250

calculated total energy: -30.85 eV per formula unit
total magnetic moment: 0.00 μB per formula unit
E_form: -0.024 eV per atom
SG: F-43m

A relaxed structure of Cd4Ag5Pd2, computed with PBE.

a b c (Å): 7.718 7.718 9.092
angles (deg): 93.77 93.77 22.05
Element x y z (fractional)
Cd1 0.175 0.175 0.412
Cd2 0.276 0.276 0.864
Cd3 0.724 0.724 0.136
Cd4 0.825 0.825 0.588
Ag1 0.000 0.000 0.500
Ag2 0.086 0.086 0.953
Ag3 0.368 0.368 0.311
Ag4 0.632 0.632 0.689
Ag5 0.914 0.914 0.047
Pd1 0.452 0.452 0.772
Pd2 0.548 0.548 0.228

calculated total energy: -29.18 eV per formula unit
total magnetic moment: 0.00 μB per formula unit
E_form: -0.079 eV per atom
SG: C2/m

A relaxed structure of LaSI2O, computed with PBE.

a b c (Å): 6.000 6.000 3.693
angles (deg): 90.00 90.00 90.00
Element x y z (fractional)
La1 0.000 0.000 0.000
S1 0.500 0.500 0.500
I1 0.000 0.500 0.500
I2 0.500 0.000 0.500
O1 0.500 0.500 0.000

raw formation energy: -1.9 eV per formula unit
E above lowest polymorph: 418 meV per atom
calculated total energy: -19.05 eV per formula unit
total magnetic moment: 0.00 μB per formula unit
SG: P4/mmm

A relaxed structure of RbAlH2, computed with PBE.

a b c (Å): 4.610 5.826 7.050
angles (deg): 66.55 88.01 89.71
Element x y z (fractional)
Rb1 0.000 0.000 0.000
Rb2 0.470 0.724 0.575
Al1 0.497 0.433 0.149
Al2 0.955 0.298 0.396
H1 0.108 0.459 0.140
H2 0.502 0.288 0.986
H3 0.510 0.732 0.976
H4 0.976 0.574 0.424

E above lowest polymorph: 98 meV per atom
calculated total energy: -11.79 eV per formula unit
total magnetic moment: 0.00 μB per formula unit
SG: P1